Record 1
Nd6SnBr8 | PBE-GGA | optimized geometry

Cell: 11.8568 11.8568 11.8568 Å, 35.73 35.73 35.73°
Sites, in units of the cell vectors:
Nd  0.1033  0.4470  0.7898
Nd  0.2102  0.8967  0.5530
Nd  0.4470  0.7898  0.1033
Nd  0.5530  0.2102  0.8967
Nd  0.7898  0.1033  0.4470
Nd  0.8967  0.5530  0.2102
Sn  0.5000  0.5000  0.5000
Br  0.0684  0.7136  0.3907
Br  0.1666  0.1666  0.1666
Br  0.2864  0.6093  0.9316
Br  0.3907  0.0684  0.7136
Br  0.6093  0.9316  0.2864
Br  0.7136  0.3907  0.0684
Br  0.8334  0.8334  0.8334
Br  0.9316  0.2864  0.6093

Values from the calculation:
N(E_F), states/eV per atom: 0.383
Space group: R-3 (148)
Formation energy from raw total energies, eV per atom: -1.411


Record 2
Ti3NbN | PBE-GGA | optimized geometry

Cell: 5.3113 4.8285 5.8548 Å, 90.00 95.95 90.00°
Sites, in units of the cell vectors:
Ti  0.1409  0.0000  0.4870
Ti  0.1415  0.0717  0.9879
Ti  0.3391  0.5595  0.7915
Ti  0.6609  0.0595  0.2085
Ti  0.8591  0.5000  0.5130
Ti  0.8585  0.5717  0.0121
Nb  0.3448  0.5280  0.2951
Nb  0.6552  0.0280  0.7049
N  0.0015  0.7854  0.7516
N  0.9985  0.2854  0.2484

Values from the calculation:
N(E_F), states/eV per atom: 0.842
Polymorph energy (0 for the lowest one), meV per atom: 7
Space group: P2_1 (4)
Formation energy from raw total energies, eV per atom: -0.725


Record 3
MgBe2V | PBE-GGA | optimized geometry

Cell: 6.5057 6.5057 6.5057 Å, 144.61 55.42 138.79°
Sites, in units of the cell vectors:
Mg  0.2481  0.0000  0.2481
Mg  0.7519  0.0000  0.7519
Be  0.5050  0.5981  0.9069
Be  0.6912  0.5981  0.0931
Be  0.7916  0.3840  0.4075
Be  0.9765  0.3840  0.5925
V  0.0909  0.0909  0.0000
V  0.3908  0.8908  0.5000

Values from the calculation:
ΔH_f (0 K), eV/atom: 0.16
N(E_F), states/eV per atom: 0.582
Space group: Imm2 (44)


Record 4
PmAsIrO | PBE-GGA | optimized geometry

Cell: 4.0910 4.0910 8.3631 Å, 90.00 90.00 90.00°
Sites, in units of the cell vectors:
Pm  0.2500  0.2500  0.1362
Pm  0.7500  0.7500  0.8638
As  0.2500  0.2500  0.6686
As  0.7500  0.7500  0.3314
Ir  0.2500  0.7500  0.5000
Ir  0.7500  0.2500  0.5000
O  0.2500  0.7500  0.0000
O  0.7500  0.2500  0.0000

Values from the calculation:
N(E_F), states/eV per atom: 0.376
Space group: P4/nmm (129)
Formation energy from raw total energies, eV per atom: -1.810


Record 5
Li12Zn7Ir | PBE-GGA | optimized geometry

Cell: 7.0582 7.0582 7.0582 Å, 102.39 102.39 102.39°
Sites, in units of the cell vectors:
Li  0.0012  0.7362  0.2637
Li  0.1745  0.1780  0.4208
Li  0.1780  0.4208  0.1745
Li  0.2637  0.0012  0.7362
Li  0.2638  0.7363  0.9988
Li  0.4208  0.1745  0.1780
Li  0.5792  0.8255  0.8220
Li  0.7362  0.2637  0.0012
Li  0.7363  0.9988  0.2638
Li  0.8220  0.5792  0.8255
Li  0.8255  0.8220  0.5792
Li  0.9988  0.2638  0.7363
Zn  0.0000  0.0000  0.0000
Zn  0.1829  0.5868  0.5851
Zn  0.4132  0.4149  0.8171
Zn  0.4149  0.8171  0.4132
Zn  0.5851  0.1829  0.5868
Zn  0.5868  0.5851  0.1829
Zn  0.8171  0.4132  0.4149
Ir  0.5000  0.5000  0.5000

Values from the calculation:
ΔH_f (0 K), eV/atom: -0.14
N(E_F), states/eV per atom: 0.347
Space group: R-3 (148)


Record 6
Tb2AgPb3 | PBE-GGA | optimized geometry

Cell: 8.5634 8.5634 6.4678 Å, 90.00 90.00 44.07°
Sites, in units of the cell vectors:
Tb  0.0736  0.6169  0.5000
Tb  0.3831  0.9264  0.5000
Tb  0.6169  0.0736  0.0000
Tb  0.9264  0.3831  0.0000
Ag  0.5003  0.4997  0.2505
Ag  0.4997  0.5003  0.7505
Pb  0.0003  0.9997  0.2499
Pb  0.9997  0.0003  0.7499
Pb  0.1371  0.5687  0.9999
Pb  0.4313  0.8629  0.9999
Pb  0.5687  0.1371  0.4999
Pb  0.8629  0.4313  0.4999

Values from the calculation:
ΔH_f (0 K), eV/atom: -0.31
N(E_F), states/eV per atom: 0.609
Space group: Cmc2_1 (36)


Record 7
Fe2ReCl | PBE-GGA | optimized geometry

Cell: 5.9525 5.9525 5.9525 Å, 125.59 125.59 80.57°
Sites, in units of the cell vectors:
Fe  0.1132  0.6250  0.9882
Fe  0.3750  0.3632  0.4882
Fe  0.6368  0.1250  0.0118
Fe  0.8750  0.8868  0.5118
Re  0.2500  0.7500  0.5000
Re  0.5000  0.5000  0.0000
Cl  0.0000  0.0000  0.0000
Cl  0.7500  0.2500  0.5000

Values from the calculation:
N(E_F), states/eV per atom: 0.270
Polymorph energy (0 for the lowest one), meV per atom: 625
Space group: I-42d (122)
Formation energy from raw total energies, eV per atom: 0.900


Record 8
NpBRh2 | PBE-GGA | optimized geometry

Cell: 5.5159 5.5159 5.5159 Å, 39.90 39.90 39.90°
Sites, in units of the cell vectors:
Np  0.0000  0.0000  0.0000
B  0.5000  0.5000  0.5000
Rh  0.2184  0.2184  0.2184
Rh  0.7816  0.7816  0.7816

Values from the calculation:
ΔH_f (0 K), eV/atom: -0.14
N(E_F), states/eV per atom: 1.903
Space group: R-3m (166)


Record 9
Ba6Na3Li | PBE-GGA | optimized geometry

Cell: 11.5383 13.7899 6.6808 Å, 90.00 90.00 90.00°
Sites, in units of the cell vectors:
Ba  0.0034  0.2414  0.0000
Ba  0.1612  0.0743  0.5000
Ba  0.1742  0.4236  0.5000
Ba  0.3258  0.9236  0.0000
Ba  0.3388  0.5743  0.0000
Ba  0.4966  0.7414  0.5000
Ba  0.5034  0.2586  0.5000
Ba  0.6612  0.4257  0.0000
Ba  0.6742  0.0764  0.0000
Ba  0.8258  0.5764  0.5000
Ba  0.8388  0.9257  0.5000
Ba  0.9966  0.7586  0.0000
Na  0.0000  0.5000  0.0000
Na  0.1632  0.7472  0.5000
Na  0.3368  0.2472  0.0000
Na  0.5000  0.0000  0.5000
Na  0.6632  0.7528  0.0000
Na  0.8368  0.2528  0.5000
Li  0.0000  0.0000  0.0000
Li  0.5000  0.5000  0.5000

Values from the calculation:
ΔH_f (0 K), eV/atom: 0.08
N(E_F), states/eV per atom: 1.355
Space group: Pnnm (58)


Record 10
CaHoRu | PBE-GGA | optimized geometry

Cell: 6.8602 6.8602 6.8602 Å, 150.83 150.83 41.73°
Sites, in units of the cell vectors:
Ca  0.0000  0.0000  0.0000
Ho  0.2549  0.2549  0.0000
Ru  0.6435  0.6435  0.0000

Values from the calculation:
ΔH_f (0 K), eV/atom: -0.13
N(E_F), states/eV per atom: 0.924
Space group: I4mm (107)


Record 11
Th7Tl2C2 | PBE-GGA | optimized geometry

Cell: 6.8967 6.8967 8.2269 Å, 93.75 93.75 111.35°
Sites, in units of the cell vectors:
Th  0.0000  0.0000  0.0000
Th  0.0911  0.4953  0.8171
Th  0.3979  0.3979  0.1940
Th  0.4953  0.0911  0.8171
Th  0.5047  0.9089  0.1829
Th  0.6021  0.6021  0.8060
Th  0.9089  0.5047  0.1829
Tl  0.2713  0.7287  0.5000
Tl  0.7287  0.2713  0.5000
C  0.3074  0.3074  0.8971
C  0.6926  0.6926  0.1029

Values from the calculation:
ΔH_f (0 K), eV/atom: 0.19
N(E_F), states/eV per atom: 1.165
Space group: C2/m (12)


Record 12
Ho2MgRuC | PBE-GGA | optimized geometry

Cell: 4.9901 4.9901 3.9466 Å, 90.00 90.00 90.00°
Sites, in units of the cell vectors:
Ho  0.0000  0.5000  0.0000
Ho  0.5000  0.0000  0.0000
Mg  0.0000  0.0000  0.5000
Ru  0.5000  0.5000  0.5000
C  0.5000  0.5000  0.0000

Values from the calculation:
ΔH_f (0 K), eV/atom: -0.32
N(E_F), states/eV per atom: 0.464
Space group: P4/mmm (123)


Record 13
CrFeIN2 | PBE-GGA | optimized geometry

Cell: 3.7227 3.7227 5.8309 Å, 90.00 90.00 90.00°
Sites, in units of the cell vectors:
Cr  0.0000  0.0000  0.0000
Fe  0.5000  0.5000  0.5000
I  0.0000  0.0000  0.5000
N  0.0000  0.5000  0.0000
N  0.5000  0.0000  0.0000

Values from the calculation:
N(E_F), states/eV per atom: 1.329
Polymorph energy (0 for the lowest one), meV per atom: 0
Space group: P4/mmm (123)
Formation energy from raw total energies, eV per atom: 0.908


Record 14
CsBeAs | PBE-GGA | optimized geometry

Cell: 7.2395 7.2395 7.3273 Å, 106.17 106.17 31.34°
Sites, in units of the cell vectors:
Cs  0.0000  0.0000  0.0000
Cs  0.6899  0.6899  0.6181
Be  0.3878  0.3878  0.3596
Be  0.8190  0.8190  0.2230
As  0.2655  0.2655  0.0789
As  0.9486  0.9486  0.4930

Values from the calculation:
ΔH_f (0 K), eV/atom: -0.38
Space group: Cm (8)


Record 15
ZrCl | PBE-GGA | optimized geometry

Cell: 3.2304 3.2304 4.2094 Å, 90.00 90.00 120.00°
Sites, in units of the cell vectors:
Zr  0.0000  0.0000  0.0000
Cl  0.3333  0.6667  0.5000

Values from the calculation:
N(E_F), states/eV per atom: 1.148
Space group: P-6m2 (187)
Formation energy from raw total energies, eV per atom: -0.642


Record 16
CsRbNbAs2 | PBE-GGA | optimized geometry

Cell: 5.1757 5.1757 5.9827 Å, 90.00 90.00 90.00°
Sites, in units of the cell vectors:
Cs  0.0000  0.0000  0.0000
Rb  0.5000  0.5000  0.0000
Nb  0.0000  0.0000  0.5000
As  0.0000  0.5000  0.5000
As  0.5000  0.0000  0.5000

Values from the calculation:
ΔH_f (0 K), eV/atom: 0.10
N(E_F), states/eV per atom: 0.878
Space group: P4/mmm (123)


Record 17
SrAl4Au4 | PBE-GGA | optimized geometry

Cell: 6.7274 6.7274 6.7274 Å, 97.43 97.43 137.84°
Sites, in units of the cell vectors:
Sr  0.0000  0.0000  0.0000
Al  0.1113  0.6094  0.7207
Al  0.3906  0.1113  0.5019
Al  0.6094  0.8887  0.4981
Al  0.8887  0.3906  0.2793
Au  0.1916  0.3274  0.5190
Au  0.3274  0.8084  0.1358
Au  0.6726  0.1916  0.8642
Au  0.8084  0.6726  0.4810

Values from the calculation:
ΔH_f (0 K), eV/atom: -0.57
N(E_F), states/eV per atom: 0.160
Polymorph energy (0 for the lowest one), meV per atom: 0
Space group: I4/m (87)


Record 18
ZnO2 | PBE-GGA | optimized geometry

Cell: 3.1287 3.1287 4.1406 Å, 90.00 90.00 120.00°
Sites, in units of the cell vectors:
Zn  0.0000  0.0000  0.0000
O  0.3333  0.6667  0.2278
O  0.6667  0.3333  0.7722

Values from the calculation:
N(E_F), states/eV per atom: 0.276
Space group: P-3m1 (164)
Formation energy from raw total energies, eV per atom: -0.264


Record 19
Nd4GaGe | PBE-GGA | optimized geometry

Cell: 6.3659 6.6939 8.9072 Å, 90.00 110.48 90.00°
Sites, in units of the cell vectors:
Nd  0.0058  0.0003  0.2570
Nd  0.0058  0.4997  0.2570
Nd  0.4062  0.2500  0.0922
Nd  0.4184  0.2500  0.6143
Nd  0.5816  0.7500  0.3857
Nd  0.5938  0.7500  0.9078
Nd  0.9942  0.9997  0.7430
Nd  0.9942  0.5003  0.7430
Ga  0.2551  0.7500  0.5673
Ga  0.7449  0.2500  0.4327
Ge  0.2238  0.7500  0.0528
Ge  0.7762  0.2500  0.9472

Values from the calculation:
ΔH_f (0 K), eV/atom: -0.47
N(E_F), states/eV per atom: 0.886
Polymorph energy (0 for the lowest one), meV per atom: 0
Space group: P2_1/m (11)


Record 20
CaSnGeW2 | PBE-GGA | optimized geometry

Cell: 4.7447 4.7447 5.3774 Å, 90.00 90.00 90.00°
Sites, in units of the cell vectors:
Ca  0.0000  0.0000  0.0000
Sn  0.5000  0.5000  0.0000
Ge  0.5000  0.5000  0.5000
W  0.0000  0.5000  0.5000
W  0.5000  0.0000  0.5000

Values from the calculation:
ΔH_f (0 K), eV/atom: 1.20
N(E_F), states/eV per atom: 1.132
Space group: P4/mmm (123)


Record 21
In3GeS6 | PBE-GGA | optimized geometry

Cell: 8.6424 8.6424 6.3867 Å, 90.00 90.00 104.46°
Sites, in units of the cell vectors:
In  0.0816  0.9184  0.5000
In  0.2146  0.4010  0.6331
In  0.4010  0.2146  0.1331
In  0.5990  0.7854  0.6331
In  0.7854  0.5990  0.1331
In  0.9184  0.0816  0.0000
Ge  0.2990  0.7010  0.1861
Ge  0.7010  0.2990  0.6861
S  0.0596  0.6189  0.3472
S  0.1183  0.2032  0.3157
S  0.2032  0.1183  0.8157
S  0.3015  0.6985  0.8380
S  0.3811  0.9404  0.3472
S  0.4472  0.5528  0.3432
S  0.5528  0.4472  0.8432
S  0.6189  0.0596  0.8472
S  0.6985  0.3015  0.3380
S  0.7968  0.8817  0.3157
S  0.8817  0.7968  0.8157
S  0.9404  0.3811  0.8472

Values from the calculation:
N(E_F), states/eV per atom: 0.239
Space group: Cmc2_1 (36)
Formation energy from raw total energies, eV per atom: -0.335


Record 22
LiBeAg2 | PBE-GGA | optimized geometry

Cell: 8.5176 8.5176 8.5176 Å, 19.54 19.54 19.54°
Sites, in units of the cell vectors:
Li  0.0000  0.0000  0.0000
Be  0.5000  0.5000  0.5000
Ag  0.2419  0.2419  0.2419
Ag  0.7581  0.7581  0.7581

Values from the calculation:
ΔH_f (0 K), eV/atom: 0.11
N(E_F), states/eV per atom: 0.274
Space group: R-3m (166)


Record 23
NaCaGa2Au2 | PBE-GGA | optimized geometry

Cell: 4.6063 4.6063 6.8692 Å, 90.00 90.00 120.00°
Sites, in units of the cell vectors:
Na  0.0000  0.0000  0.0000
Ca  0.0000  0.0000  0.5000
Ga  0.3333  0.6667  0.7835
Ga  0.6667  0.3333  0.2165
Au  0.3333  0.6667  0.2326
Au  0.6667  0.3333  0.7674

Values from the calculation:
ΔH_f (0 K), eV/atom: -0.50
N(E_F), states/eV per atom: 0.480
Space group: P-3m1 (164)


no.,electronic total energy (eV/atom)
1,-4.477
2,-9.141
3,-4.385
4,-7.615
5,-2.179
6,-4.179
7,-6.905
8,-8.716
9,-1.661
10,-5.417
11,-6.641
12,-6.168
13,-6.350
14,-3.455
15,-5.839
16,-4.140
17,-3.873
18,-3.994
19,-4.927
20,-6.110
21,-4.094
22,-2.730
23,-3.152